Computed, not measured: crystalline Na2NiPt2O6 at its relaxed geometry at the PBE+U level of DFT.

DFT total energy in eV/atom: -5.30
Crystal system: monoclinic
Size of the total moment in Bohr magnetons per cell: 3.96

Cell lengths 5.370, 9.408, 5.670 Å; angles 90.00, 108.10, 90.00 degrees
Space group C2/m (No. 12)
Inequivalent atoms, fractional coordinates:
Na: 0.000 0.164 0.000 [4 per cell]
Ni: 0.000 0.000 0.500 [2 per cell]
Pt: 0.000 0.335 0.500 [4 per cell]
O: 0.229 0.500 0.690 [4 per cell]
O: 0.231 0.173 0.693 [8 per cell]